GGA-PBEsol MgAgP2, relaxed; energy of formation from the pure elements = -10 kJ/mol of formula units; N(E_F) = 0.17 states/eV/atom; density = 4.094 g/cm³; total moment = 0.00 μB per cell
1.0
4.290 -1.655 0.000
4.290 1.655 0.000
-3.450 0.000 5.545
Mg Ag P
1 1 2
Direct
0.000 0.000 0.000 Mg
0.000 0.000 0.500 Ag
0.350 0.350 0.162 P
0.650 0.650 0.838 P



GGA-PBEsol MgAg2P, relaxed; energy of formation from the pure elements = 5 kJ/mol of formula units; offset from the most stable computed form = 0 meV/atom; N(E_F) = 0.46 states/eV/atom; density = 6.618 g/cm³; total moment = 0.00 μB per cell
1.0
0.000 3.240 3.240
3.240 0.000 3.240
3.240 3.240 0.000
Mg Ag P
1 2 1
Direct
0.000 0.000 0.000 Mg
0.250 0.250 0.250 Ag
0.500 0.500 0.500 Ag
0.750 0.750 0.750 P



GGA-PBEsol Mg2AgP, relaxed; energy of formation from the pure elements = 15 kJ/mol of formula units; N(E_F) = 0.19 states/eV/atom; density = 4.269 g/cm³; total moment = 0.00 μB per cell
1.0
0.000 3.316 3.316
3.316 0.000 3.316
3.316 3.316 0.000
Mg Ag P
2 1 1
Direct
0.000 0.000 0.000 Mg
0.250 0.250 0.250 Mg
0.500 0.500 0.500 Ag
0.750 0.750 0.750 P



GGA-PBEsol MgAg2P, relaxed; energy of formation from the pure elements = 30 kJ/mol of formula units; offset from the most stable computed form = 65 meV/atom; N(E_F) = 0.66 states/eV/atom; density = 6.645 g/cm³; total moment = 0.00 μB per cell
1.0
0.000 3.235 3.235
3.235 0.000 3.235
3.235 3.235 0.000
Mg Ag P
1 2 1
Direct
0.000 0.000 0.000 Mg
0.250 0.250 0.250 Ag
0.750 0.750 0.750 Ag
0.500 0.500 0.500 P